No. 1
Compound: BiSCl2
Source: the Alexandria database
Functional: GGA-PBE
Structure: optimized geometry

Cell and atoms, written as POSCAR:
```
BiSCl2
1.0
4.620 -2.241 8.019
4.887 -5.261 6.254
7.179 -2.671 5.657
S Bi Cl
1 1 2
direct
0.000 0.000 0.000
0.500 0.500 0.500
0.082 0.082 0.082
0.918 0.918 0.918
```

Properties
Formation energy from raw total energies (eV per atom): 0.085
Polymorph energy (0 for the lowest one) (meV/atom): 620
Space-group type: R-3m
Fermi-level density of states (states/eV/cell): 2.84

No. 2
Compound: Ti2SbHPd
Source: the Alexandria database
Functional: GGA-PBE
Structure: optimized geometry

Cell and atoms, written as POSCAR:
```
Ti2SbHPd
1.0
-2.626 -2.064 2.322
2.925 -0.617 2.759
-1.095 3.608 1.968
Ti Pd H Sb
2 1 1 1
direct
0.500 0.000 0.000
0.000 0.500 0.000
0.000 0.000 0.500
0.000 0.000 0.000
0.500 0.500 0.500
```

Properties
Raw total energy (eV/atom): -6.19
Space-group type: P4/mmm
Fermi-level density of states (states/eV/cell): 3.26

No. 3
Compound: Ba2AlS
Source: the Alexandria database
Functional: GGA-PBE
Structure: optimized geometry

Cell and atoms, written as POSCAR:
```
Ba2AlS
1.0
2.311 -5.126 1.320
-3.321 -4.187 2.191
-1.268 -4.646 -3.188
Al S Ba
1 1 2
direct
0.000 0.000 0.000
0.500 0.500 0.500
0.250 0.250 0.250
0.750 0.750 0.750
```

Properties
Formation energy from raw total energies (eV per atom): -0.525
Polymorph energy (0 for the lowest one) (meV/atom): 126
Space-group type: Fm-3m
Fermi-level density of states (states/eV/cell): 4.08